Density functional theory data (GGA-PBE) for a relaxed Hg5SbAu3 crystal.

```
Hg5SbAu3
1.0
-5.958 -1.247 -3.410
1.047 -6.680 1.720
-2.966 5.190 9.548
Hg Sb Au
10 2 6
Direct
0.219 0.702 0.327
0.266 0.734 0.000
0.776 0.776 0.105
0.748 0.748 0.396
0.252 0.252 0.604
0.224 0.224 0.895
0.702 0.219 0.327
0.734 0.266 0.000
0.781 0.298 0.673
0.298 0.781 0.673
0.730 0.730 0.755
0.270 0.270 0.245
0.505 0.505 0.856
0.036 0.036 0.346
0.000 0.000 0.000
0.500 0.500 0.500
0.495 0.495 0.144
0.964 0.964 0.654
```



Density functional theory data (GGA-PBE) for a relaxed HgSb2Au crystal.

```
HgSb2Au
1.0
-4.388 -3.137 -1.540
1.991 -3.202 -4.154
1.115 0.884 5.426
Au Hg Sb
1 1 2
Direct
0.750 0.250 0.500
0.250 0.750 0.500
0.975 0.975 0.000
0.525 0.525 0.000
```



Density functional theory data (GGA-PBE) for a relaxed HgSb2Au crystal.

```
HgSb2Au
1.0
3.281 0.000 0.000
0.000 4.169 0.000
0.000 0.000 8.112
Au Hg Sb
1 1 2
Direct
0.500 0.500 0.250
0.500 0.500 0.750
0.000 0.000 0.069
0.000 0.000 0.431
```



Density functional theory data (GGA-PBE) for a relaxed ScHgSb2Au crystal.

```
ScHgSb2Au
1.0
-2.007 -2.227 4.434
-3.493 -2.766 -2.971
3.526 -4.005 -0.416
Sc Sb Au Hg
1 2 1 1
Direct
0.000 0.500 0.000
0.000 0.000 0.500
0.500 0.000 0.000
0.000 0.000 0.000
0.500 0.500 0.500
```



Table of E_form (uncorrected) (eV per atom), in record order: 0.08 0.14 0.13 0.28